## Ca2CdRu (PBE)

Data for Ca2CdRu after structural relaxation.

Cell lengths 10.128, 10.128, 10.128 Å; angles 19.53, 19.53, 19.53 degrees
Positions (direct):
Ru1 0.750 0.750 0.750
Ca1 0.016 0.016 0.016
Ca2 0.484 0.484 0.484
Cd1 0.250 0.250 0.250

Values from the calculation:
Spin magnetization ... 0.25 μB per formula unit
DOS at the Fermi energy ... 2.946 states/eV/cell
Energy of formation ... 219 meV per atom
Space-group type ... R-3m

***

## Ca2CdRu (PBE)

Data for Ca2CdRu after structural relaxation.

Cell lengths 5.497, 5.497, 5.497 Å; angles 131.55, 131.55, 70.94 degrees
Positions (direct):
Ru1 0.750 0.250 0.500
Ca1 0.000 0.000 0.000
Ca2 0.250 0.750 0.500
Cd1 0.500 0.500 0.000

Values from the calculation:
Spin magnetization ... 0.00 μB per formula unit
DOS at the Fermi energy ... 2.571 states/eV/cell
Energy of formation ... 142 meV per atom
Space-group type ... I-4m2

***

## CaCd2Ru (PBE)

Data for CaCd2Ru after structural relaxation.

Cell lengths 5.277, 5.277, 5.277 Å; angles 131.02, 131.02, 71.78 degrees
Positions (direct):
Ru1 0.500 0.500 0.000
Ca1 0.750 0.250 0.500
Cd1 0.000 0.000 0.000
Cd2 0.250 0.750 0.500

Values from the calculation:
Spin magnetization ... 0.00 μB per formula unit
DOS at the Fermi energy ... 3.746 states/eV/cell
Energy of formation ... 132 meV per atom
Space-group type ... I-4m2

***

## CaCd2Ru (PBE)

Data for CaCd2Ru after structural relaxation.

Cell lengths 9.975, 9.975, 9.975 Å; angles 18.47, 18.47, 18.47 degrees
Positions (direct):
Ru1 0.250 0.250 0.250
Ca1 0.750 0.750 0.750
Cd1 0.990 0.990 0.990
Cd2 0.510 0.510 0.510

Values from the calculation:
Spin magnetization ... 0.73 μB per formula unit
DOS at the Fermi energy ... 4.217 states/eV/cell
Energy of formation ... 381 meV per atom
Space-group type ... R-3m

***

Volume
In order: 25.38; 22.78; 20.45; 21.75
Unit: Å³/atom